Compound: MnInAu3
Source: Alexandria
Functional: PBE
Structure: relaxed

```
MnInAu3
1.0
-3.2837 2.8099 2.5043
-3.7002 -2.5767 -1.9480
-1.3365 -3.3319 6.9411
Au In Mn
6 2 2
Direct
0.6904 0.8444 0.4169 Au
0.3001 0.8444 0.2070 Au
0.7207 0.3444 0.1977 Au
0.1110 0.3444 0.4075 Au
0.9082 0.3445 0.8047 Au
0.5029 0.8443 0.8098 Au
0.5028 0.3444 0.6080 In
0.9083 0.8444 0.0065 In
0.3174 0.3443 0.0209 Mn
0.0937 0.8445 0.5936 Mn
```

Output
For the volume, the calculation gives 18.18 A^3/atom. The calculation puts the total moment at 8.05 μB/cell. As for the symmetry: P-1 (2). The calculation puts the formation energy at -102 meV/atom.